NaGa2H6: optimized geometry, PBE-GGA.

Cell: 10.264 9.002 6.350 Å, 90.00 124.61 90.00°
Space group C2/c (No. 15)
One atom of each set of equivalent atoms:
Na: 0.000 0.102 0.250
Ga: 0.157 0.432 0.145
H: 0.120 0.260 0.135
H: 0.124 0.485 0.857
H: 0.152 0.048 0.678

Calculated values
Energy above the most stable polymorph in this dataset ... 53.5 meV per atom
DOS(E_F) ... 0.168 states/eV per atom

---

P2PdNCl: optimized geometry, PBE-GGA.

Cell: 4.057 4.057 4.421 Å, 90.00 90.00 90.00°
Space group P4/mmm (No. 123)
One atom of each set of equivalent atoms:
P: 0.000 0.500 0.000
Pd: 0.000 0.000 0.500
N: 0.500 0.500 0.000
Cl: 0.500 0.500 0.500

Calculated values
Formation energy (no corrections) ... 23.91 kcal/mol of atoms
Energy above the most stable polymorph in this dataset ... 0.0 meV per atom
DOS(E_F) ... 0.574 states/eV per atom

---

AcBrO3: optimized geometry, PBE-GGA.

Cell: 3.902 6.955 7.051 Å, 105.92 96.06 98.84°
Space group P-1 (No. 2)
One atom of each set of equivalent atoms:
Ac: 0.171 0.373 0.246
Br: 0.381 0.137 0.718
O: 0.244 0.415 0.613
O: 0.347 0.680 0.068
O: 0.420 0.894 0.759

Calculated values
Formation energy (no corrections) ... -36.70 kcal/mol of atoms
DOS(E_F) ... 0.000 states/eV per atom

---

TlCuHg2I: optimized geometry, PBE-GGA.

Cell: 5.188 5.188 5.765 Å, 90.00 90.00 90.00°
Space group P4/mmm (No. 123)
One atom of each set of equivalent atoms:
Tl: 0.000 0.000 0.000
Cu: 0.000 0.000 0.500
Hg: 0.000 0.500 0.500
I: 0.500 0.500 0.000

Calculated values
Formation energy (no corrections) ... -1.83 kcal/mol of atoms
DOS(E_F) ... 0.354 states/eV per atom